Sr3Fe2O4F3: relaxed, GGA+U.

Magnetization   9.00 μB per formula unit
E   -6.04 eV per atom
SG   I4/mmm

Cell lengths 10.902, 10.902, 10.902 Å; angles 158.69, 158.69, 30.32 degrees
Positions (direct):
Sr 0.000 0.000 0.000
Sr 0.172 0.172 0.000
Sr 0.828 0.828 0.000
Fe 0.401 0.401 0.000
Fe 0.599 0.599 0.000
O 0.099 0.599 0.500
O 0.401 0.901 0.500
O 0.599 0.099 0.500
O 0.901 0.401 0.500
F 0.291 0.291 0.000
F 0.500 0.500 0.000
F 0.709 0.709 0.000